Record 1
Material: SrIrS2N
Method: DFT, PBE
State: relaxed

Computed properties:
- Crystal system: tetragonal
- Formation energy (no corrections): -2.597 eV per formula unit

a b c (Å): 5.0410 5.0410 3.7222
angles (deg): 90.00 90.00 90.00
Fractional coordinates of all 5 atoms:
Sr (0.0000, 0.0000, 0.0000)
Ir (0.5000, 0.5000, 0.5000)
S (0.0000, 0.5000, 0.5000)
S (0.5000, 0.0000, 0.5000)
N (0.5000, 0.5000, 0.0000)

***

Record 2
Material: GaHPd3
Method: DFT, PBE
State: relaxed

Computed properties:
- Crystal system: cubic

a b c (Å): 4.6482 4.6482 4.6482
angles (deg): 90.00 90.00 90.00
Fractional coordinates of all 5 atoms:
Ga (0.0000, 0.0000, 0.0000)
H (0.5000, 0.5000, 0.5000)
Pd (0.0000, 0.0000, 0.5000)
Pd (0.0000, 0.5000, 0.0000)
Pd (0.5000, 0.0000, 0.0000)

***

no.,E (eV per atom)
1,-5.944
2,-3.608